{"formula": "SrYIr2", "functional": "GGA-PBE", "state": "relaxed", "formation_enthalpy_0k_ev_per_atom": -0.244, "e_tot_ev_per_atom": -6.711, "lattice_angstrom": [[2.306, -3.252, -2.941], [0.793, -4.631, 1.570], [-2.531, -3.760, -1.999]], "species": ["Ir", "Y", "Ir", "Sr"], "frac_coords": [[0.750, 0.750, 0.750], [0.500, 0.500, 0.500], [0.250, 0.250, 0.250], [0.000, 0.000, 0.000]]}